(1)
LiBeCl2 after structural relaxation, computed with PBE.

Cell lengths 3.379, 3.294, 6.491 Å; angles 90.00, 102.34, 90.00 degrees
Space group P2/m (No. 10)
Inequivalent atoms, fractional coordinates:
Li 0.000 0.000 0.000 x1
Be 0.500 0.000 0.500 x1
Cl 0.408 0.500 0.246 x2

Density of states at the Fermi level: 0.4 states/eV/f.u.
Crystal system: monoclinic

***

(2)
Li4BeCl6 after structural relaxation, computed with PBE.

Cell lengths 11.932, 6.881, 12.040 Å; angles 90.00, 110.25, 90.00 degrees
Space group Cc (No. 9)
Inequivalent atoms, fractional coordinates:
Li 0.000 0.070 0.000 x4
Li 0.150 0.395 0.498 x4
Li 0.169 0.110 0.806 x4
Li 0.359 0.215 0.154 x4
Be 0.420 0.270 0.741 x4
Cl 0.044 0.228 0.614 x4
Cl 0.101 0.227 0.307 x4
Cl 0.170 0.254 0.991 x4
Cl 0.356 0.261 0.563 x4
Cl 0.363 0.483 0.297 x4
Cl 0.364 0.031 0.803 x4

Density of states at the Fermi level: 0.0 states/eV/f.u.
Crystal system: monoclinic

***

(3)
LiBeCl2 after structural relaxation, computed with PBE.

Cell lengths 10.118, 3.440, 6.226 Å; angles 90.00, 105.95, 90.00 degrees
Space group Cm (No. 8)
Inequivalent atoms, fractional coordinates:
Li 0.000 0.000 0.000 x2
Be 0.243 0.000 0.893 x2
Cl 0.262 0.500 0.704 x2
Cl 0.404 0.000 0.168 x2

Density of states at the Fermi level: 0.7 states/eV/f.u.
Crystal system: monoclinic

***

(4)
LiBe2Cl after structural relaxation, computed with PBE.

Cell lengths 7.264, 7.264, 4.491 Å; angles 90.00, 90.00, 90.00 degrees
Space group I-42d (No. 122)
Inequivalent atoms, fractional coordinates:
Li 0.000 0.000 0.000 x4
Be 0.212 0.250 0.625 x8
Cl 0.000 0.000 0.500 x4

Density of states at the Fermi level: 0.0 states/eV/f.u.
Crystal system: tetragonal

***

(5)
LiBe2Cl after structural relaxation, computed with PBE.

Cell lengths 2.957, 5.343, 7.442 Å; angles 90.00, 90.00, 90.00 degrees
Space group Cmm2 (No. 35)
Inequivalent atoms, fractional coordinates:
Li 0.000 0.000 0.000 x2
Be 0.000 0.000 0.484 x2
Be 0.000 0.500 0.709 x2
Cl 0.000 0.500 0.260 x2

Density of states at the Fermi level: 0.9 states/eV/f.u.
Crystal system: orthorhombic

***

(6)
LiBe2Cl after structural relaxation, computed with PBE.

Cell lengths 3.150, 3.150, 7.751 Å; angles 90.00, 90.00, 90.00 degrees
Space group P4/mmm (No. 123)
Inequivalent atoms, fractional coordinates:
Li 0.000 0.000 0.000 x1
Be 0.000 0.500 0.500 x2
Cl 0.500 0.500 0.000 x1

Density of states at the Fermi level: 0.6 states/eV/f.u.
Crystal system: tetragonal

***

(7)
Li2Be2Cl after structural relaxation, computed with PBE.

Cell lengths 3.805, 3.805, 11.904 Å; angles 90.00, 90.00, 90.00 degrees
Space group I4/mmm (No. 139)
Inequivalent atoms, fractional coordinates:
Li 0.000 0.500 0.250 x4
Be 0.000 0.000 0.090 x4
Cl 0.000 0.000 0.500 x2

Density of states at the Fermi level: 2.7 states/eV/f.u.
Crystal system: tetragonal

***

(8)
LiBe2Cl after structural relaxation, computed with PBE.

Cell lengths 4.471, 8.494, 3.198 Å; angles 90.00, 90.00, 90.00 degrees
Space group Cmmm (No. 65)
Inequivalent atoms, fractional coordinates:
Li 0.000 0.000 0.000 x2
Be 0.250 0.250 0.500 x4
Cl 0.000 0.500 0.000 x2

Density of states at the Fermi level: 0.2 states/eV/f.u.
Crystal system: orthorhombic

***

(9)
LiBe2Cl after structural relaxation, computed with PBE.

Cell lengths 2.969, 2.969, 6.942 Å; angles 90.00, 90.00, 90.00 degrees
Space group P4mm (No. 99)
Inequivalent atoms, fractional coordinates:
Li 0.000 0.000 0.000 x1
Be 0.000 0.000 0.412 x1
Be 0.500 0.500 0.535 x1
Cl 0.500 0.500 0.846 x1

Density of states at the Fermi level: 0.6 states/eV/f.u.
Crystal system: tetragonal

***

(10)
LiBeCl2 after structural relaxation, computed with PBE.

Cell lengths 6.576, 6.576, 6.576 Å; angles 90.00, 90.00, 90.00 degrees
Space group Fm-3m (No. 225)
Inequivalent atoms, fractional coordinates:
Li 0.000 0.000 0.000 x4
Be 0.000 0.000 0.500 x4
Cl 0.250 0.250 0.250 x8

Density of states at the Fermi level: 0.8 states/eV/f.u.
Crystal system: cubic

***

(11)
LiBeCl2 after structural relaxation, computed with PBE.

Cell lengths 3.5759, 3.5759, 20.5139 Å; angles 90.00, 90.00, 120.00 degrees
Space group R-3m (No. 166, hexagonal axes)
Inequivalent atoms, fractional coordinates:
Li 0.0000 0.0000 0.0000 x3
Be 0.0000 0.0000 0.5000 x3
Cl 0.0000 0.0000 0.4029 x6

Density of states at the Fermi level: 0.0 states/eV/f.u.
Crystal system: trigonal

***

(12)
Li2Be2Cl7 after structural relaxation, computed with PBE.

Cell lengths 7.988, 10.641, 6.089 Å; angles 90.00, 107.68, 90.00 degrees
Space group C2/m (No. 12)
Inequivalent atoms, fractional coordinates:
Li 0.000 0.199 0.000 x4
Be 0.233 0.500 0.379 x4
Cl 0.000 0.500 0.500 x2
Cl 0.136 0.000 0.277 x4
Cl 0.245 0.341 0.220 x8

Crystal system: monoclinic

***

(13)
LiBe2Cl after structural relaxation, computed with PBE.

Cell lengths 2.880, 5.851, 7.698 Å; angles 90.00, 90.00, 90.00 degrees
Space group Imm2 (No. 44)
Inequivalent atoms, fractional coordinates:
Li 0.000 0.000 0.000 x2
Be 0.000 0.000 0.468 x2
Be 0.000 0.500 0.204 x2
Cl 0.000 0.500 0.765 x2

Density of states at the Fermi level: 1.6 states/eV/f.u.
Crystal system: orthorhombic

***

(14)
LiBe2Cl after structural relaxation, computed with PBE.

Cell lengths 3.601, 3.601, 8.381 Å; angles 90.00, 90.00, 90.00 degrees
Space group I-4m2 (No. 119)
Inequivalent atoms, fractional coordinates:
Li 0.000 0.000 0.000 x2
Be 0.000 0.000 0.500 x2
Be 0.000 0.500 0.750 x2
Cl 0.000 0.500 0.250 x2

Density of states at the Fermi level: 0.5 states/eV/f.u.
Crystal system: tetragonal

***

(15)
Li2BeCl2 after structural relaxation, computed with PBE.

Cell lengths 4.879, 4.879, 13.035 Å; angles 90.00, 90.00, 90.00 degrees
Space group I4/mmm (No. 139)
Inequivalent atoms, fractional coordinates:
Li 0.000 0.000 0.247 x4
Be 0.000 0.000 0.000 x2
Cl 0.000 0.500 0.250 x4

Density of states at the Fermi level: 0.0 states/eV/f.u.
Crystal system: tetragonal

***

(16)
LiBe2Cl after structural relaxation, computed with PBE.

Cell lengths 6.352, 6.352, 6.352 Å; angles 90.00, 90.00, 90.00 degrees
Space group F-43m (No. 216)
Inequivalent atoms, fractional coordinates:
Li 0.000 0.000 0.000 x4
Be 0.000 0.000 0.500 x4
Be 0.250 0.250 0.250 x4
Cl 0.250 0.250 0.750 x4

Density of states at the Fermi level: 1.0 states/eV/f.u.
Crystal system: cubic

***

(17)
LiBe2Cl after structural relaxation, computed with PBE.

Cell lengths 3.094, 3.036, 14.610 Å; angles 90.00, 90.00, 90.00 degrees
Space group Amm2 (No. 38)
Inequivalent atoms, fractional coordinates:
Li 0.000 0.000 0.000 x2
Be 0.000 0.000 0.170 x2
Be 0.500 0.000 0.623 x2
Cl 0.500 0.000 0.456 x2

Density of states at the Fermi level: 0.3 states/eV/f.u.
Crystal system: orthorhombic

***

(18)
LiBeCl2 after structural relaxation, computed with PBE.

Cell lengths 6.796, 6.796, 6.796 Å; angles 90.00, 90.00, 90.00 degrees
Space group F-43m (No. 216)
Inequivalent atoms, fractional coordinates:
Li 0.000 0.000 0.000 x4
Be 0.250 0.250 0.250 x4
Cl 0.000 0.000 0.500 x4
Cl 0.250 0.250 0.750 x4

Density of states at the Fermi level: 2.3 states/eV/f.u.
Crystal system: cubic

***

(19)
LiBe2Cl after structural relaxation, computed with PBE.

Cell lengths 2.9486, 2.9486, 22.3955 Å; angles 90.00, 90.00, 120.00 degrees
Space group R-3m (No. 166, hexagonal axes)
Inequivalent atoms, fractional coordinates:
Li 0.0000 0.0000 0.0000 x3
Be 0.0000 0.0000 0.2420 x6
Cl 0.0000 0.0000 0.5000 x3

Density of states at the Fermi level: 0.4 states/eV/f.u.
Crystal system: trigonal

***

(20)
Li2Be2Cl after structural relaxation, computed with PBE.

Cell lengths 6.409, 6.409, 3.646 Å; angles 90.00, 90.00, 90.00 degrees
Space group P4/mbm (No. 127)
Inequivalent atoms, fractional coordinates:
Li 0.160 0.340 0.000 x4
Be 0.118 0.618 0.500 x4
Cl 0.000 0.000 0.500 x2

Density of states at the Fermi level: 2.4 states/eV/f.u.
Crystal system: tetragonal

***

One value per record, in order, for M_tot: 0.97 0.00 1.00 0.00 0.00 0.00 0.00 0.00 0.00 0.91 1.00 0.91 0.00 0.00 0.00 0.00 0.00 0.86 0.00 0.00 μB per formula unit.
One value per record, in order, for E_tot: -12.0 -165.1 -25.8 -41.8 -21.2 -11.6 -21.3 -20.7 -11.8 -42.7 -37.8 -77.1 -20.2 -18.7 -28.9 -34.4 -23.6 -35.5 -29.1 -23.7 eV/cell.
One value per record, in order, for energy relative to the elements, uncorrected: -0.658 -1.710 -0.893 0.194 0.147 -0.108 0.496 0.212 -0.138 -0.338 -0.815 -1.305 0.283 0.467 -0.637 0.652 -0.145 0.115 0.375 0.258 eV/atom.